Entry 1:
Computed, not measured: an optimized crystal structure of Ac2Nd5Sm at the PBE level of DFT.

Summary:
**Total energy**: -4.569 eV/atom
**Calculated volume**: 299 Å³/cell

a b c (Å): 5.3270 5.3270 11.1785
angles (deg): 103.78 103.78 90.00
With the nearest neighbours (Å) after each atom.
Atoms (fractional coordinates):
Ac1 0.7499 0.7499 0.4999  4 Ac 3.77, 8 Nd 3.82-3.83
Ac2 0.2501 0.2501 0.5001  4 Ac 3.77, 8 Nd 3.82-3.83
Sm1 0.0000 0.0000 0.0000  12 Nd 3.67-3.77
Nd1 0.3804 0.8804 0.7608  2 Sm 3.67, 6 Nd 3.67-3.77, 4 Ac 3.82-3.83
Nd2 0.5000 0.5000 0.0000  8 Nd 3.67, 4 Sm 3.77
Nd3 0.1196 0.6196 0.2392  6 Nd 3.67-3.77, 2 Sm 3.67, 4 Ac 3.82-3.83
Nd4 0.8804 0.3804 0.7608  6 Nd 3.67-3.77, 2 Sm 3.67, 4 Ac 3.82-3.83
Nd5 0.6196 0.1196 0.2392  2 Sm 3.67, 6 Nd 3.67-3.77, 4 Ac 3.82-3.83

Entry 2:
Computed, not measured: an optimized crystal structure of Ac3Nd8Sm3 at the PBE level of DFT.

Summary:
**Total energy**: -4.494 eV/atom
**Calculated volume**: 523 Å³/cell

a b c (Å): 5.8764 10.1309 10.1309
angles (deg): 102.15 73.14 73.14
With the nearest neighbours (Å) after each atom.
Atoms (fractional coordinates):
Nd1 0.8367 0.7668 0.5599  4 Nd 3.26-3.51
Nd2 0.1633 0.4401 0.2332  4 Nd 3.26-3.51
Nd3 0.6596 0.5652 0.1155  6 Nd 3.36-3.66, 2 Sm 3.68
Nd4 0.6596 0.1155 0.5652  6 Nd 3.36-3.66, 2 Sm 3.68
Nd5 0.3404 0.8845 0.4348  6 Nd 3.36-3.66, 2 Sm 3.68
Nd6 0.3404 0.4348 0.8845  6 Nd 3.36-3.66, 2 Sm 3.68
Nd7 0.1633 0.2332 0.4401  4 Nd 3.26-3.51
Nd8 0.8367 0.5599 0.7668  4 Nd 3.26-3.51
Sm1 0.0000 0.8072 0.1928  2 Ac 3.67, 8 Nd 3.68-3.88
Sm2 0.0000 0.1928 0.8072  2 Ac 3.67, 8 Nd 3.68-3.88
Sm3 0.5000 0.0000 0.0000  4 Ac 3.59
Ac1 0.5000 0.5000 0.5000  2 Ac 3.58, 12 Nd 3.83-3.98
Ac2 0.1828 0.8172 0.8172  1 Ac 3.58, 4 Sm 3.59-3.67, 6 Nd 3.78-3.97
Ac3 0.8172 0.1828 0.1828  1 Ac 3.58, 4 Sm 3.59-3.67, 6 Nd 3.78-3.97

Which of these has the highest calculated volume? Ac3Nd8Sm3

calculated volume of number 1 (Ac2Nd5Sm)? 299 Å³/cell